(1)
A relaxed structure of K2TeBr, computed with PBE-GGA.

Values from the calculation:
The calculation puts the spin magnetization at 0.0 μB/cell. Its uncorrected formation energy is -1112 meV per atom. The calculation puts the energy above the most stable polymorph in this dataset at 67 meV per atom.

a b c (Å): 6.158 6.158 3.656
angles (deg): 89.96 89.96 90.06
Fractional coordinates of all 4 atoms:
Br1 0.000 0.500 0.500
K1 0.000 0.000 0.000
K2 0.500 0.500 0.000
Te1 0.500 0.000 0.500

(2)
A relaxed structure of ZrRuO3, computed with PBE-GGA.

Values from the calculation:
The calculation puts the spin magnetization at 0.0 μB/cell. Its uncorrected formation energy is -1017 meV per atom.

a b c (Å): 3.865 3.865 3.865
angles (deg): 90.00 90.00 90.00
Fractional coordinates of all 5 atoms:
O1 0.000 0.000 0.500
O2 0.500 0.000 0.000
O3 0.000 0.500 0.000
Zr1 0.500 0.500 0.500
Ru1 0.000 0.000 0.000

(3)
A relaxed structure of YMoCl2, computed with PBE-GGA.

Values from the calculation:
The calculation puts the spin magnetization at 0.0 μB/cell. Its uncorrected formation energy is -557 meV per atom. The calculation puts the energy above the most stable polymorph in this dataset at 0 meV per atom.

a b c (Å): 3.353 4.036 7.009
angles (deg): 73.26 90.00 90.00
Fractional coordinates of all 4 atoms:
Cl1 0.500 0.428 0.269
Cl2 0.000 0.103 0.920
Mo1 0.000 0.294 0.538
Y1 0.500 0.676 0.773

(4)
A relaxed structure of KBe2Ge, computed with PBE-GGA.

Values from the calculation:
The calculation puts the spin magnetization at 0.0 μB/cell. The calculation puts the energy of formation at 0.19 eV per atom.

a b c (Å): 3.845 3.845 18.691
angles (deg): 90.00 90.00 120.00
Fractional coordinates of all 12 atoms:
Ge1 0.333 0.667 0.299
Ge2 0.000 0.000 0.632
Ge3 0.667 0.333 0.966
Be1 0.000 0.000 0.339
Be2 0.333 0.667 0.675
Be3 0.667 0.333 0.342
Be4 0.000 0.000 0.009
Be5 0.667 0.333 0.672
Be6 0.333 0.667 0.006
K1 0.333 0.667 0.489
K2 0.667 0.333 0.155
K3 0.000 0.000 0.822

(5)
A relaxed structure of Sc2BeNb2, computed with PBE-GGA.

Values from the calculation:
The calculation puts the spin magnetization at 0.0 μB/cell. The calculation puts the energy of formation at 0.29 eV per atom.

a b c (Å): 6.585 6.585 4.415
angles (deg): 90.00 90.00 90.00
Fractional coordinates of all 10 atoms:
Be1 0.500 0.500 0.000
Be2 0.000 0.000 0.000
Nb1 0.356 0.856 0.000
Nb2 0.144 0.356 0.000
Nb3 0.856 0.644 0.000
Nb4 0.644 0.144 0.000
Sc1 0.165 0.665 0.500
Sc2 0.665 0.835 0.500
Sc3 0.335 0.165 0.500
Sc4 0.835 0.335 0.500

(6)
A relaxed structure of Tb3Sm6ErTh2, computed with PBE-GGA.

Values from the calculation:
The calculation puts the spin magnetization at 0.0 μB/cell. The calculation puts the energy of formation at 0.03 eV per atom.

a b c (Å): 6.216 6.216 11.950
angles (deg): 94.99 94.99 119.92
Fractional coordinates of all 12 atoms:
Er1 0.000 0.000 0.000
Sm1 0.747 0.747 0.248
Sm2 0.253 0.253 0.752
Sm3 0.083 0.418 0.247
Sm4 0.582 0.917 0.753
Sm5 0.418 0.083 0.247
Sm6 0.917 0.582 0.753
Th1 0.334 0.666 0.000
Th2 0.666 0.334 0.000
Tb1 0.500 0.500 0.500
Tb2 0.833 0.167 0.500
Tb3 0.167 0.833 0.500

(7)
A relaxed structure of Nd2Dy3ErS6, computed with PBE-GGA.

Values from the calculation:
The calculation puts the spin magnetization at 0.0 μB/cell. Its uncorrected formation energy is -1995 meV per atom.

a b c (Å): 3.936 7.960 8.835
angles (deg): 103.16 102.87 90.00
Fractional coordinates of all 12 atoms:
Er1 0.500 0.000 0.000
S1 0.337 0.408 0.675
S2 0.996 0.245 0.992
S3 0.004 0.755 0.008
S4 0.664 0.072 0.329
S5 0.663 0.592 0.325
S6 0.336 0.928 0.671
Dy1 0.500 0.500 0.000
Dy2 0.831 0.167 0.661
Dy3 0.169 0.833 0.339
Nd1 0.168 0.336 0.336
Nd2 0.832 0.664 0.664

(8)
A relaxed structure of AcPm8Tm2, computed with PBE-GGA.

Values from the calculation:
The calculation puts the spin magnetization at 0.0 μB/cell. The calculation puts the energy of formation at 0.03 eV per atom. The calculation puts the energy above the most stable polymorph in this dataset at 0 meV per atom.

a b c (Å): 5.165 8.168 9.661
angles (deg): 104.81 105.51 90.00
Fractional coordinates of all 11 atoms:
Ac1 0.500 0.000 0.000
Pm1 0.140 0.191 0.280
Pm2 0.048 0.723 0.095
Pm3 0.594 0.461 0.187
Pm4 0.684 0.910 0.367
Pm5 0.316 0.090 0.633
Pm6 0.406 0.539 0.813
Pm7 0.860 0.809 0.720
Pm8 0.952 0.277 0.905
Tm1 0.771 0.364 0.543
Tm2 0.229 0.636 0.457

Question: Which formula does entry 5 have?
Answer: Sc2BeNb2

Question: spin magnetization of number 6 (Tb3Sm6ErTh2)?
Answer: 0.0 μB/cell

Question: What is the formula in the third record?
Answer: YMoCl2